1.
TcOs2Cl | PBE-GGA | optimized geometry

## Properties
For the energy, the calculation gives -0.3022 hartree per atom. The value obtained for the formation energy (no corrections) is 0.4437 eV per atom. For the relative energy among the computed polymorphs, the calculation gives 0.0000 eV/atom. The value obtained for the magnetization is 0.00 μB/f.u.

Structure (CIF):
```
data_TcOs2Cl
_chemical_formula_sum 'Tc3 Os6 Cl3'
_cell_length_a 2.8142
_cell_length_b 2.8142
_cell_length_c 26.0294
_cell_angle_alpha 90.00
_cell_angle_beta 90.00
_cell_angle_gamma 120.00
_space_group_name_H-M_alt 'R 3 m'
_space_group_IT_number 160
_space_group_name_Hall 'R 3 -2"'
loop_
_atom_site_label
_atom_site_fract_x
_atom_site_fract_y
_atom_site_fract_z
Tc1 0.0000 0.0000 0.0000
Os1 0.0000 0.0000 0.4978
Os2 0.0000 0.0000 0.7501
Cl1 0.0000 0.0000 0.2584
```

2.
Pr2SnRu | PBE-GGA | optimized geometry

## Properties
For the energy, the calculation gives -0.2053 hartree per atom. The energy relative to the elements is 0.12 eV per atom. For the relative energy among the computed polymorphs, the calculation gives 0.4946 eV/atom. The value obtained for the magnetization is 0.00 μB/f.u.

Structure (CIF):
```
data_Pr2SnRu
_chemical_formula_sum 'Pr6 Sn3 Ru3'
_cell_length_a 3.6827
_cell_length_b 3.6827
_cell_length_c 31.3072
_cell_angle_alpha 90.00
_cell_angle_beta 90.00
_cell_angle_gamma 120.00
_space_group_name_H-M_alt 'R -3 m'
_space_group_IT_number 166
_space_group_name_Hall '-R 3 2"'
loop_
_atom_site_label
_atom_site_fract_x
_atom_site_fract_y
_atom_site_fract_z
Pr1 0.0000 0.0000 0.1056
Sn1 0.0000 0.0000 0.0000
Ru1 0.0000 0.0000 0.5000
```

3.
Tb2PbS4 | PBE-GGA | optimized geometry

## Properties
For the energy, the calculation gives -0.2128 hartree per atom. The value obtained for the formation energy (no corrections) is -1.5780 eV per atom. For the relative energy among the computed polymorphs, the calculation gives 0.0526 eV/atom. The value obtained for the magnetization is 0.00 μB/f.u.

Structure (CIF):
```
data_Tb2PbS4
_chemical_formula_sum 'Tb8 Pb4 S16'
_cell_length_a 8.549
_cell_length_b 8.549
_cell_length_c 8.521
_cell_angle_alpha 90.00
_cell_angle_beta 90.00
_cell_angle_gamma 90.00
_space_group_name_H-M_alt 'I -4 2 d'
_space_group_IT_number 122
_space_group_name_Hall 'I -4 2bw'
loop_
_atom_site_label
_atom_site_fract_x
_atom_site_fract_y
_atom_site_fract_z
Tb1 0.129 0.250 0.125
Pb1 0.000 0.000 0.500
S1 0.074 0.172 0.815
```

no.,density of states at the Fermi level (states/eV per cell)
1,13.822
2,16.934
3,0.000